No. 1
The following is a PBE with a Hubbard U calculation of crystalline TaCrCd2O6 at its relaxed geometry, from the Alexandria database.

The value obtained for the calculated total energy is -68.2 eV per cell. Its density of states at the Fermi level is 0.092 states/eV per atom. For the volume, the calculation gives 12.611 Å³ per atom.

The structure belongs to space group P4mm (No. 99); the cell edges are 5.574, 5.574 and 4.059 Å and the angles 90.00°, 90.00° and 90.00°. The inequivalent atoms are Ta at (0.000, 0.000, 0.000), Cr at (0.500, 0.500, 0.030), Cd at (0.000, 0.500, 0.419), O at (0.000, 0.000, 0.530), O at (0.248, 0.248, 0.054) and O at (0.500, 0.500, 0.536).

=====

No. 2
The following is a PBE with a Hubbard U calculation of crystalline CrCd2TcO6 at its relaxed geometry, from the Alexandria database.

The value obtained for the calculated total energy is -61.0 eV per cell. Its density of states at the Fermi level is 0.236 states/eV per atom. For the volume, the calculation gives 12.005 Å³ per atom.

The structure belongs to space group P4mm (No. 99); the cell edges are 5.512, 5.512 and 3.951 Å and the angles 90.00°, 90.00° and 90.00°. The inequivalent atoms are Cr at (0.000, 0.000, 0.000), Cd at (0.000, 0.500, 0.441), Tc at (0.500, 0.500, 0.999), O at (0.000, 0.000, 0.503), O at (0.252, 0.252, 0.015) and O at (0.500, 0.500, 0.507).

=====

No. 3
The following is a PBE with a Hubbard U calculation of crystalline CrCdTc2O at its relaxed geometry, from the Alexandria database.

The value obtained for the calculated total energy is -24.0 eV per cell. Its density of states at the Fermi level is 0.762 states/eV per atom. For the volume, the calculation gives 19.882 Å³ per atom.

The structure belongs to space group P4/mmm (No. 123); the cell edges are 4.409, 4.409 and 5.114 Å and the angles 90.00°, 90.00° and 90.00°. The inequivalent atoms are Cr at (0.000, 0.000, 0.000), Cd at (0.000, 0.000, 0.500), Tc at (0.000, 0.500, 0.000) and O at (0.500, 0.500, 0.500).

=====

No. 4
The following is a PBE with a Hubbard U calculation of crystalline CrCdTe2O8 at its relaxed geometry, from the Alexandria database.

The value obtained for the calculated total energy is -128.8 eV per cell. Its density of states at the Fermi level is 0.096 states/eV per atom. For the volume, the calculation gives 14.809 Å³ per atom.

The structure belongs to space group I-4m2 (No. 119); the cell edges are 7.267, 7.267 and 6.730 Å and the angles 90.00°, 90.00° and 90.00°. The inequivalent atoms are Cr at (0.000, 0.000, 0.000), Cd at (0.000, 0.500, 0.750), Te at (0.000, 0.000, 0.500), Te at (0.000, 0.500, 0.250), O at (0.000, 0.190, 0.682) and O at (0.000, 0.304, 0.073).

=====

No. 5
The following is a PBE with a Hubbard U calculation of crystalline CrCd2TeO6 at its relaxed geometry, from the Alexandria database.

The value obtained for the calculated total energy is -52.0 eV per cell. Its density of states at the Fermi level is 0.135 states/eV per atom. For the volume, the calculation gives 13.187 Å³ per atom.

The structure belongs to space group P4mm (No. 99); the cell edges are 5.646, 5.646 and 4.137 Å and the angles 90.00°, 90.00° and 90.00°. The inequivalent atoms are Cr at (0.000, 0.000, 0.000), Cd at (0.000, 0.500, 0.387), Te at (0.500, 0.500, 0.991), O at (0.000, 0.000, 0.520), O at (0.251, 0.251, 0.058) and O at (0.500, 0.500, 0.517).

=====

No. 6
The following is a PBE with a Hubbard U calculation of crystalline TiCr2CdO at its relaxed geometry, from the Alexandria database.

The value obtained for the calculated total energy is -28.7 eV per cell. Its density of states at the Fermi level is 0.684 states/eV per atom. For the volume, the calculation gives 21.763 Å³ per atom.

The structure belongs to space group P4/mmm (No. 123); the cell edges are 5.442, 5.442 and 3.674 Å and the angles 90.00°, 90.00° and 90.00°. The inequivalent atoms are Ti at (0.000, 0.000, 0.000), Cr at (0.000, 0.500, 0.000), Cd at (0.500, 0.500, 0.500) and O at (0.000, 0.000, 0.500).

=====

No. 7
The following is a PBE with a Hubbard U calculation of crystalline TiCrCd2O6 at its relaxed geometry, from the Alexandria database.

The value obtained for the calculated total energy is -63.0 eV per cell. Its density of states at the Fermi level is 0.408 states/eV per atom. For the volume, the calculation gives 11.858 Å³ per atom.

The structure belongs to space group P4mm (No. 99); the cell edges are 5.536, 5.536 and 3.870 Å and the angles 90.00°, 90.00° and 90.00°. The inequivalent atoms are Ti at (0.000, 0.000, 0.000), Cr at (0.500, 0.500, 0.010), Cd at (0.000, 0.500, 0.415), O at (0.000, 0.000, 0.534), O at (0.251, 0.251, 0.053) and O at (0.500, 0.500, 0.538).

=====

No. 8
The following is a PBE with a Hubbard U calculation of crystalline TiCr2CdO6 at its relaxed geometry, from the Alexandria database.

The value obtained for the calculated total energy is -222.7 eV per cell. Its density of states at the Fermi level is 0.000 states/eV per atom. For the volume, the calculation gives 11.105 Å³ per atom.

The structure belongs to space group R3 (No. 146, hexagonal axes); the cell edges are 5.2349, 5.2349 and 14.0370 Å and the angles 90.00°, 90.00° and 120.00°. The inequivalent atoms are Ti at (0.0000, 0.0000, 0.0000), Cr at (0.0000, 0.0000, 0.2046), Cr at (0.0000, 0.0000, 0.7008), Cd at (0.0000, 0.0000, 0.4812), O at (0.0114, 0.3408, 0.2811) and O at (0.0797, 0.7163, 0.7709).

=====

Copy entry 7 word for word.
The following is a PBE with a Hubbard U calculation of crystalline TiCrCd2O6 at its relaxed geometry, from the Alexandria database.

The value obtained for the calculated total energy is -63.0 eV per cell. Its density of states at the Fermi level is 0.408 states/eV per atom. For the volume, the calculation gives 11.858 Å³ per atom.

The structure belongs to space group P4mm (No. 99); the cell edges are 5.536, 5.536 and 3.870 Å and the angles 90.00°, 90.00° and 90.00°. The inequivalent atoms are Ti at (0.000, 0.000, 0.000), Cr at (0.500, 0.500, 0.010), Cd at (0.000, 0.500, 0.415), O at (0.000, 0.000, 0.534), O at (0.251, 0.251, 0.053) and O at (0.500, 0.500, 0.538).

=====

- Which value of calculated total energy does entry 4 give?
  -128.8 eV per cell

=====

- The lowest calculated total energy belongs to which entry?
  TiCr2CdO6

=====

- calculated total energy of number 1 (TaCrCd2O6)?
  -68.2 eV per cell